Material: ZrTaMn2P
Method: DFT, PBE
State: relaxed

Properties
- energy of formation from the pure elements (eV/f.u.) = 6.51
- space-group type = No. 123
- V (Å³ per atom) = 21.767
- calculated total energy (eV per atom) = -7.53

a = 4.4971 Å, b = 4.4971 Å, c = 5.3814 Å
α = 90.00°, β = 90.00°, γ = 90.00°
Fractional coordinates of all 5 atoms:
Zr: 0.0000 0.0000 0.0000
Ta: 0.0000 0.0000 0.5000
Mn: 0.0000 0.5000 0.5000
Mn: 0.5000 0.0000 0.5000
P: 0.5000 0.5000 0.0000

***

Material: Li2SiTePb
Method: DFT, PBE
State: relaxed

Properties
- uncorrected formation energy (eV/atom) = 0.38
- space-group type = No. 123
- V (Å³ per atom) = 28.347
- calculated total energy (eV per atom) = -2.85

a = 5.1897 Å, b = 5.1897 Å, c = 5.2625 Å
α = 90.00°, β = 90.00°, γ = 90.00°
Fractional coordinates of all 5 atoms:
Li: 0.0000 0.5000 0.0000
Li: 0.5000 0.0000 0.0000
Si: 0.0000 0.0000 0.5000
Te: 0.5000 0.5000 0.5000
Pb: 0.0000 0.0000 0.0000